This record from Alexandria via LeMat-Bulk describes a relaxed structure of Tm3Ag3TeS8. The functional is PBE-GGA.

## Properties
theoretical density = 5.95 g cm⁻³
formation energy (no corrections) = -1.010 eV/atom

Lattice parameters (Å, degrees): 7.8745 7.8720 7.7960 120.54 90.00 120.01
Last column: nearest neighbours and their distance in Å.
Fractional coordinates of all 15 atoms:
Tm 0.0000 0.5000 0.5000  6 S 2.71-2.73
Tm 0.5000 0.5000 0.5000  6 S 2.71-2.73
Tm 0.5000 0.0000 0.5000  6 S 2.70-2.73
S 0.7583 0.0072 0.2671  1 Te 2.67, 2 Tm 2.73, 2 Ag 2.80-2.82
S 0.2488 0.0072 0.2671  1 Te 2.67, 2 Tm 2.73, 2 Ag 2.80-2.82
S 0.2416 0.4832 0.7328  1 Te 2.67, 2 Tm 2.73, 2 Ag 2.82
S 0.7447 0.4893 0.7324  3 Tm 2.70-2.71, 3 Ag 2.82-2.84
S 0.7584 0.5168 0.2672  1 Te 2.67, 2 Tm 2.73, 2 Ag 2.82
S 0.2417 0.9928 0.7329  1 Te 2.67, 2 Tm 2.73, 2 Ag 2.80-2.82
S 0.2553 0.5107 0.2676  3 Tm 2.70-2.71, 3 Ag 2.82-2.84
S 0.7512 0.9928 0.7329  1 Te 2.67, 2 Tm 2.73, 2 Ag 2.80-2.82
Ag 0.5000 0.5000 0.0000  6 S 2.80-2.84
Ag 0.0000 0.0000 0.0000  6 S 2.82
Ag 0.0000 0.5000 0.0000  6 S 2.80-2.84
Te 0.0000 0.0000 0.5000  6 S 2.67